[1]
The following is a DFT calculation (GGA-PBE) of a geometry-optimized ScCd2Re structure.

Calculated values
DOS at the Fermi energy: 3.279 states/eV/f.u.
E: -4.8658 eV per atom
crystal system: tetragonal
symmetry: I-4m2, No. 119
V: 18.92 Å³/atom
ΔE to the lowest computed polymorph: 0.1305 eV/atom

POSCAR file:
```
ScCd2Re
1.0
-2.0897 2.0897 4.3326
2.0897 -2.0897 4.3326
2.0897 2.0897 -4.3326
Sc Cd Re
1 2 1
Cartesian
0.0000 0.0000 0.0000
2.0897 0.0000 2.1663
0.0000 0.0000 4.3326
0.0000 2.0897 2.1663
```

***

[2]
The following is a DFT calculation (GGA-PBE) of a geometry-optimized ScCd2Re structure.

Calculated values
DOS at the Fermi energy: 3.669 states/eV/f.u.
E: -4.9650 eV per atom
crystal system: tetragonal
symmetry: P4mm, No. 99
V: 19.43 Å³/atom
ΔE to the lowest computed polymorph: 0.0313 eV/atom

POSCAR file:
```
ScCd2Re
1.0
2.9485 0.0000 0.0000
0.0000 2.9485 0.0000
0.0000 0.0000 8.9384
Sc Cd Re
1 2 1
Cartesian
0.0000 0.0000 0.0000
0.0000 0.0000 4.8508
1.4742 1.4742 2.4711
1.4742 1.4742 6.9744
```

***

[3]
The following is a DFT calculation (GGA-PBE) of a geometry-optimized Sc2CdRe structure.

Calculated values
DOS at the Fermi energy: 4.410 states/eV/f.u.
E: -6.2644 eV per atom
crystal system: tetragonal
symmetry: P4mm, No. 99
V: 19.96 Å³/atom

POSCAR file:
```
Sc2CdRe
1.0
2.9474 0.0000 0.0000
0.0000 2.9474 0.0000
0.0000 0.0000 9.1882
Sc Cd Re
2 1 1
Cartesian
0.0000 0.0000 0.0000
1.4737 1.4737 2.7204
0.0000 0.0000 5.0565
1.4737 1.4737 7.1851
```

***

[4]
The following is a DFT calculation (GGA-PBE) of a geometry-optimized ScCd2Re structure.

Calculated values
DOS at the Fermi energy: 3.036 states/eV/f.u.
E: -4.8691 eV per atom
crystal system: orthorhombic
symmetry: Imm2, No. 44
V: 19.14 Å³/atom
ΔE to the lowest computed polymorph: 0.1272 eV/atom

POSCAR file:
```
ScCd2Re
1.0
-1.7234 2.3861 4.6534
1.7234 -2.3861 4.6534
1.7234 2.3861 -4.6534
Sc Cd Re
1 2 1
Cartesian
0.0000 0.0000 0.0000
0.0000 0.0000 4.4073
0.0000 2.3861 2.1147
1.7234 0.0000 2.1094
```